First-principles (PBE) data for a relaxed MgTl2CuF6 crystal, as listed in the Alexandria database.

Properties
E_form (uncorrected) = -2.2087 eV per atom
theoretical density = 6996 kg/m3
symmetry = I4/mmm, No. 139
magnetization = 1.02 μB/f.u.

Cell: 5.852 5.852 5.852 Å, 118.42 118.42 92.77°
Fractional positions:
Mg1 0.000 0.000 0.000
Tl1 0.250 0.750 0.500
Tl2 0.750 0.250 0.500
Cu1 0.500 0.500 0.000
F1 0.240 0.240 0.481
F2 0.240 0.760 0.000
F3 0.261 0.261 0.000
F4 0.739 0.739 0.000
F5 0.760 0.240 0.000
F6 0.760 0.760 0.519